# 1
# CaCrTcP2 PBE-GGA relaxed
data_CaCrTcP2
_chemical_formula_sum 'Ca2 Cr2 Tc2 P4'
_cell_length_a 4.016
_cell_length_b 4.016
_cell_length_c 10.237
_cell_angle_alpha 90.00
_cell_angle_beta 90.00
_cell_angle_gamma 90.00
_space_group_name_H-M_alt 'I -4 m 2'
_space_group_IT_number 119
_space_group_name_Hall 'I -4 -2'
loop_
_atom_site_label
_atom_site_type_symbol
_atom_site_fract_x
_atom_site_fract_y
_atom_site_fract_z
_atom_site_occupancy
Ca1 Ca 0.000 0.000 0.000 1
Cr1 Cr 0.000 0.500 0.250 1
Tc1 Tc 0.000 0.500 0.750 1
P1 P 0.000 0.000 0.371 1
# energy of formation from the pure elements: -0.714 eV/atom
# total energy: -72.76 eV for the cell shown

***

# 2
# Tb3Ce2Ho6Er PBE-GGA relaxed
data_Tb3Ce2Ho6Er
_chemical_formula_sum 'Tb6 Ce4 Ho12 Er2'
_cell_length_a 6.113
_cell_length_b 10.585
_cell_length_c 11.680
_cell_angle_alpha 90.00
_cell_angle_beta 100.04
_cell_angle_gamma 90.00
_space_group_name_H-M_alt 'C 1 2/m 1'
_space_group_IT_number 12
_space_group_name_Hall '-C 2y'
loop_
_atom_site_label
_atom_site_type_symbol
_atom_site_fract_x
_atom_site_fract_y
_atom_site_fract_z
_atom_site_occupancy
Tb1 Tb 0.000 0.000 0.000 1
Tb2 Tb 0.000 0.334 0.000 1
Ce1 Ce 0.000 0.166 0.500 1
Ho1 Ho 0.248 0.000 0.748 1
Ho2 Ho 0.249 0.168 0.252 1
Er1 Er 0.000 0.500 0.500 1
# energy of formation from the pure elements: 0.044 eV/atom
# total energy: -114.51 eV for the cell shown

***

# 3
# YHoZnSi PBE-GGA relaxed
data_YHoZnSi
_chemical_formula_sum 'Y4 Ho4 Zn4 Si4'
_cell_length_a 7.026
_cell_length_b 7.026
_cell_length_c 7.026
_cell_angle_alpha 90.00
_cell_angle_beta 90.00
_cell_angle_gamma 90.00
_space_group_name_H-M_alt 'F -4 3 m'
_space_group_IT_number 216
_space_group_name_Hall 'F -4 2 3'
loop_
_atom_site_label
_atom_site_type_symbol
_atom_site_fract_x
_atom_site_fract_y
_atom_site_fract_z
_atom_site_occupancy
Y1 Y 0.000 0.000 0.000 1
Ho1 Ho 0.000 0.000 0.500 1
Zn1 Zn 0.250 0.250 0.750 1
Si1 Si 0.250 0.250 0.250 1
# ΔE_f (raw): -0.467 eV per atom
# polymorph energy (0 for the lowest one): 0.48 eV per formula unit
# total energy: -78.43 eV for the cell shown